An optimized crystal structure of SrBWO5, computed with GGA+U.

POSCAR file:
```
SrBWO5
1.0
3.297 -4.362 0.000
3.297 4.362 0.000
-3.060 0.000 6.688
Sr B W O
2 2 2 10
Cartesian
1.002 2.976 5.016
2.532 -2.976 1.672
2.532 2.706 1.672
1.002 -2.706 5.016
3.297 0.000 0.000
1.767 0.000 3.344
-1.511 0.723 5.946
1.582 1.870 2.495
0.020 -0.723 2.602
3.482 1.870 0.849
1.002 0.601 5.016
2.532 -0.601 1.672
0.051 -1.870 5.839
3.514 0.723 4.086
1.952 -1.870 4.193
5.044 -0.723 0.742
```

Properties
As for the density of states at the Fermi level: 0.0 states/eV/f.u. The value obtained for the total DFT energy (no corrections) is -7.438 eV/atom. As for the volume: 192 Å³/cell.